This record from the Alexandria database describes an optimized crystal structure of Cd2NiCl. The functional is PBE-GGA.

Cell lengths 5.0713, 5.0713, 6.2638 Å; angles 82.21, 82.21, 37.77 degrees
Element x y z (fractional)
Ni 0.2118 0.2118 0.1586
Cd 0.6875 0.6875 0.8424
Cd 0.9411 0.9411 0.0647
Cl 0.6596 0.6596 0.4343

Results
D(E_F): 0.768 states/eV per atom
ΔE_f (raw): -112 meV/atom
Total magnetic moment: 0.00 μB per formula unit